Entry 1:
The following is a DFT calculation (GGA-PBE) of a relaxed AcZnSi crystal.

Unit cell a=5.098 b=5.098 c=5.098 alpha=60.00 beta=60.00 gamma=60.00
Element x y z (fractional)
Ac: 0.000 0.000 0.000
Zn: 0.250 0.250 0.250
Si: 0.750 0.750 0.750

As for the space-group type: F-43m, No. 216. For the energy above the most stable polymorph in this dataset, the calculation gives 0.758 eV per atom.

Entry 2:
The following is a DFT calculation (GGA-PBE) of a relaxed AcSm crystal.

Unit cell a=3.856 b=3.856 c=6.082 alpha=90.00 beta=90.00 gamma=120.00
Element x y z (fractional)
Ac: 0.000 0.000 0.000
Sm: 0.667 0.333 0.500

As for the energy relative to the elements: 10.3 kJ/mol of formula units. As for the space-group type: P-6m2, No. 187. For the energy above the most stable polymorph in this dataset, the calculation gives 0.000 eV per atom.

Entry 3:
The following is a DFT calculation (GGA-PBE) of a relaxed AcSm crystal.

Unit cell a=5.198 b=5.198 c=5.198 alpha=60.00 beta=60.00 gamma=60.00
Element x y z (fractional)
Ac: 0.000 0.000 0.000
Sm: 0.750 0.750 0.750

As for the energy relative to the elements: 323.6 kJ/mol of formula units. As for the space-group type: F-43m, No. 216. For the energy above the most stable polymorph in this dataset, the calculation gives 1.624 eV per atom.

Entry 4:
The following is a DFT calculation (GGA-PBE) of a relaxed AcSm crystal.

Unit cell a=4.904 b=4.904 c=4.904 alpha=60.00 beta=60.00 gamma=60.00
Element x y z (fractional)
Ac: 0.000 0.000 0.000
Sm: 0.500 0.500 0.500

As for the energy relative to the elements: 137.4 kJ/mol of formula units. As for the space-group type: Fm-3m, No. 225. For the energy above the most stable polymorph in this dataset, the calculation gives 0.659 eV per atom.

Entry 5:
The following is a DFT calculation (GGA-PBE) of a relaxed AcSmTa crystal.

Unit cell a=5.232 b=5.232 c=5.232 alpha=60.00 beta=60.00 gamma=60.00
Element x y z (fractional)
Ac: 0.000 0.000 0.000
Sm: 0.500 0.500 0.500
Ta: 0.750 0.750 0.750

As for the energy relative to the elements: 263.4 kJ/mol of formula units. As for the space-group type: F-43m, No. 216. For the energy above the most stable polymorph in this dataset, the calculation gives 0.000 eV per atom.

Entry 6:
The following is a DFT calculation (GGA-PBE) of a relaxed AcSmTe crystal.

Unit cell a=5.389 b=5.389 c=5.389 alpha=60.00 beta=60.00 gamma=60.00
Element x y z (fractional)
Ac: 0.000 0.000 0.000
Sm: 0.500 0.500 0.500
Te: 0.250 0.250 0.250

As for the space-group type: F-43m, No. 216. For the energy above the most stable polymorph in this dataset, the calculation gives 0.000 eV per atom.

Entry 7:
The following is a DFT calculation (GGA-PBE) of a relaxed AcSmTe3 crystal.

Unit cell a=7.624 b=7.624 c=11.171 alpha=90.00 beta=90.00 gamma=145.71
Element x y z (fractional)
Ac: 0.249 0.751 0.750
Ac: 0.751 0.249 0.250
Sm: 0.500 0.500 0.000
Sm: 0.500 0.500 0.500
Te: 0.145 0.855 0.061
Te: 0.145 0.855 0.439
Te: 0.415 0.585 0.250
Te: 0.585 0.415 0.750
Te: 0.855 0.145 0.561
Te: 0.855 0.145 0.939

As for the space-group type: Cmcm, No. 63.

Entry 8:
The following is a DFT calculation (GGA-PBE) of a relaxed AcSmTh crystal.

Unit cell a=5.600 b=5.600 c=5.600 alpha=60.00 beta=60.00 gamma=60.00
Element x y z (fractional)
Ac: 0.000 0.000 0.000
Sm: 0.250 0.250 0.250
Th: 0.500 0.500 0.500

As for the energy relative to the elements: 220.3 kJ/mol of formula units. As for the space-group type: F-43m, No. 216. For the energy above the most stable polymorph in this dataset, the calculation gives 0.000 eV per atom.

| no. | calculated density (g cm⁻³) | DFT total energy (eV per atom) |
| --- | --- | --- |
| 1 | 5.679 | -3.40 |
| 2 | 8.002 | -4.36 |
| 3 | 6.309 | -2.73 |
| 4 | 7.515 | -3.70 |
| 5 | 9.153 | -5.98 |
| 6 | 7.576 | -4.55 |
| 7 | 6.902 | -5.16 |
| 8 | 8.148 | -4.65 |